[1]
The following is a DFT calculation (GGA-PBE) of a geometry-optimized Sc3CdGa structure.

Computed properties:
ΔE to the lowest computed polymorph	0.4122	eV per atom
space-group type	Pm-3m (221)
crystal system	cubic
total magnetic moment	1.306	μB per cell
DFT formation energy	1.64	kcal/mol of atoms

```
Sc3CdGa
1.0
5.097 0.000 0.000
0.000 5.097 0.000
0.000 0.000 5.097
Sc Ga Cd
3 1 1
direct
0.000 0.500 0.000
0.000 0.000 0.500
0.500 0.000 0.000
0.000 0.000 0.000
0.500 0.500 0.500
```


[2]
The following is a DFT calculation (GGA-PBE) of a geometry-optimized La3Sm2Th2 structure.

Computed properties:
ΔE to the lowest computed polymorph	0.0000	eV per atom
space-group type	C2/m (12)
crystal system	monoclinic
total magnetic moment	0.000	μB per cell
DFT formation energy	2.89	kcal/mol of atoms

```
La3Sm2Th2
1.0
3.536 0.000 0.000
0.000 8.751 -0.914
-1.768 -3.573 8.142
La Sm Th
3 2 2
direct
0.000 0.500 0.000
0.219 0.786 0.438
0.781 0.214 0.562
0.562 0.908 0.124
0.438 0.092 0.876
0.848 0.651 0.696
0.152 0.349 0.304
```


[3]
The following is a DFT calculation (GGA-PBE) of a geometry-optimized Tm3Si4Rh2 structure.

Computed properties:
uncorrected formation energy	-0.949	eV/atom
space-group type	C2/m (12)
crystal system	monoclinic
total magnetic moment	0.000	μB per cell

```
Tm3Si4Rh2
1.0
4.129 0.000 0.000
-2.065 5.246 -0.130
0.000 -2.299 7.606
Tm Si Rh
3 4 2
direct
0.621 0.242 0.697
0.000 0.000 0.000
0.379 0.758 0.303
0.720 0.439 0.073
0.280 0.561 0.927
0.910 0.821 0.592
0.090 0.179 0.408
0.687 0.373 0.361
0.313 0.627 0.639
```


[4]
The following is a DFT calculation (GGA-PBE) of a geometry-optimized V8B2N structure.

Computed properties:
uncorrected formation energy	-0.347	eV/atom
space-group type	C2/m (12)
crystal system	monoclinic
total magnetic moment	0.000	μB per cell

```
V8B2N
1.0
3.101 0.000 0.000
0.000 5.237 -0.170
-1.551 -2.402 7.757
V B N
8 2 1
direct
0.412 0.614 0.823
0.679 0.971 0.359
0.777 0.670 0.553
0.952 0.185 0.904
0.223 0.330 0.447
0.321 0.029 0.641
0.588 0.386 0.177
0.048 0.815 0.096
0.828 0.326 0.655
0.172 0.674 0.345
0.500 0.000 0.000
```


Taking the records one at a time from the top gives calculated total energy values of -4.516; -5.455; -6.484; -8.950 eV/atom.